# TlCd2Au2 | Alexandria | SCAN | PBEsol geometry
data_TlCd2Au2
_chemical_formula_sum 'Tl2 Cd4 Au4'
_cell_length_a 8.248
_cell_length_b 8.248
_cell_length_c 3.024
_cell_angle_alpha 90.00
_cell_angle_beta 90.00
_cell_angle_gamma 90.00
_space_group_name_H-M_alt 'P 4/m b m'
_space_group_IT_number 127
_space_group_name_Hall '-P 4 2ab'
loop_
_atom_site_label
_atom_site_type_symbol
_atom_site_fract_x
_atom_site_fract_y
_atom_site_fract_z
_atom_site_occupancy
Tl1 Tl 0.000 0.000 0.000 1
Cd1 Cd 0.134 0.366 0.500 1
Au1 Au 0.163 0.663 0.000 1
# ΔH_f (0 K) = -0.1619 eV per atom
# spin magnetization = 0.00 μB per formula unit
# excess energy over the best structure of this formula in the dataset = 0 meV/atom
# V = 20.57 A^3/atom

=====

# KTl2Te | Alexandria | SCAN | PBEsol geometry
data_KTl2Te
_chemical_formula_sum 'K2 Tl4 Te2'
_cell_length_a 4.951
_cell_length_b 4.951
_cell_length_c 10.155
_cell_angle_alpha 90.00
_cell_angle_beta 90.00
_cell_angle_gamma 90.00
_space_group_name_H-M_alt 'I -4 m 2'
_space_group_IT_number 119
_space_group_name_Hall 'I -4 -2'
loop_
_atom_site_label
_atom_site_type_symbol
_atom_site_fract_x
_atom_site_fract_y
_atom_site_fract_z
_atom_site_occupancy
K1 K 0.000 0.000 0.000 1
Tl1 Tl 0.000 0.000 0.500 1
Tl2 Tl 0.000 0.500 0.750 1
Te1 Te 0.000 0.500 0.250 1
# spin magnetization = 0.00 μB per formula unit
# uncorrected formation energy = -0.42 eV per atom
# excess energy over the best structure of this formula in the dataset = 62 meV/atom
# V = 31.11 A^3/atom

=====

# HgTe2Au | Alexandria | SCAN | PBEsol geometry
data_HgTe2Au
_chemical_formula_sum 'Hg2 Te4 Au2'
_cell_length_a 6.122
_cell_length_b 8.340
_cell_length_c 4.078
_cell_angle_alpha 90.00
_cell_angle_beta 90.00
_cell_angle_gamma 90.00
_space_group_name_H-M_alt 'C m m m'
_space_group_IT_number 65
_space_group_name_Hall '-C 2 2'
loop_
_atom_site_label
_atom_site_type_symbol
_atom_site_fract_x
_atom_site_fract_y
_atom_site_fract_z
_atom_site_occupancy
Hg1 Hg 0.000 0.000 0.000 1
Te1 Te 0.000 0.274 0.500 1
Au1 Au 0.000 0.500 0.000 1
# spin magnetization = 0.00 μB per formula unit
# uncorrected formation energy = -0.09 eV per atom
# V = 26.03 A^3/atom

=====

# SrRe4Cl | Alexandria | SCAN | PBEsol geometry
data_SrRe4Cl
_chemical_formula_sum 'Sr4 Re16 Cl4'
_cell_length_a 7.578
_cell_length_b 7.578
_cell_length_c 7.578
_cell_angle_alpha 90.00
_cell_angle_beta 90.00
_cell_angle_gamma 90.00
_space_group_name_H-M_alt 'F -4 3 m'
_space_group_IT_number 216
_space_group_name_Hall 'F -4 2 3'
loop_
_atom_site_label
_atom_site_type_symbol
_atom_site_fract_x
_atom_site_fract_y
_atom_site_fract_z
_atom_site_occupancy
Sr1 Sr 0.000 0.000 0.000 1
Re1 Re 0.124 0.124 0.624 1
Cl1 Cl 0.250 0.250 0.250 1
# spin magnetization = 0.00 μB per formula unit
# uncorrected formation energy = 1.06 eV per atom
# V = 18.13 A^3/atom

=====

# MnAl3Ru | Alexandria | SCAN | PBEsol geometry
data_MnAl3Ru
_chemical_formula_sum 'Mn1 Al3 Ru1'
_cell_length_a 4.330
_cell_length_b 4.330
_cell_length_c 4.330
_cell_angle_alpha 90.00
_cell_angle_beta 90.00
_cell_angle_gamma 90.00
_space_group_name_H-M_alt 'P m -3 m'
_space_group_IT_number 221
_space_group_name_Hall '-P 4 2 3'
loop_
_atom_site_label
_atom_site_type_symbol
_atom_site_fract_x
_atom_site_fract_y
_atom_site_fract_z
_atom_site_occupancy
Mn1 Mn 0.000 0.000 0.000 1
Al1 Al 0.000 0.000 0.500 1
Ru1 Ru 0.500 0.500 0.500 1
# ΔH_f (0 K) = 0.6281 eV per atom
# spin magnetization = 2.18 μB per formula unit
# V = 16.23 A^3/atom

=====

# Ba2ScTl | Alexandria | SCAN | PBEsol geometry
data_Ba2ScTl
_chemical_formula_sum 'Ba2 Sc1 Tl1'
_cell_length_a 4.186
_cell_length_b 4.186
_cell_length_c 8.348
_cell_angle_alpha 90.00
_cell_angle_beta 90.00
_cell_angle_gamma 90.00
_space_group_name_H-M_alt 'P 4/m m m'
_space_group_IT_number 123
_space_group_name_Hall '-P 4 2'
loop_
_atom_site_label
_atom_site_type_symbol
_atom_site_fract_x
_atom_site_fract_y
_atom_site_fract_z
_atom_site_occupancy
Ba1 Ba 0.000 0.000 0.239 1
Sc1 Sc 0.500 0.500 0.500 1
Tl1 Tl 0.500 0.500 0.000 1
# ΔH_f (0 K) = -0.0020 eV per atom
# spin magnetization = 0.00 μB per formula unit
# V = 36.56 A^3/atom

=====

# Zn3Mo2O9 | Alexandria | SCAN | PBEsol geometry
data_Zn3Mo2O9
_chemical_formula_sum 'Zn6 Mo4 O18'
_cell_length_a 7.776
_cell_length_b 7.092
_cell_length_c 8.395
_cell_angle_alpha 90.00
_cell_angle_beta 117.37
_cell_angle_gamma 90.00
_space_group_name_H-M_alt 'P 1 21/m 1'
_space_group_IT_number 11
_space_group_name_Hall '-P 2yb'
loop_
_atom_site_label
_atom_site_type_symbol
_atom_site_fract_x
_atom_site_fract_y
_atom_site_fract_z
_atom_site_occupancy
Zn1 Zn 0.000 0.000 0.000 1
Zn2 Zn 0.109 0.250 0.766 1
Zn3 Zn 0.353 0.250 0.208 1
Mo1 Mo 0.164 0.750 0.718 1
Mo2 Mo 0.452 0.750 0.299 1
O1 O 0.076 0.548 0.782 1
O2 O 0.086 0.750 0.486 1
O3 O 0.099 0.250 0.995 1
O4 O 0.306 0.548 0.201 1
O5 O 0.348 0.250 0.745 1
O6 O 0.418 0.750 0.830 1
O7 O 0.463 0.250 0.468 1
# spin magnetization = 0.00 μB per formula unit
# uncorrected formation energy = -1.92 eV per atom
# V = 14.68 A^3/atom

=====

# MnTe2IF | Alexandria | SCAN | PBEsol geometry
data_MnTe2IF
_chemical_formula_sum 'Mn1 Te2 I1 F1'
_cell_length_a 4.974
_cell_length_b 4.974
_cell_length_c 5.204
_cell_angle_alpha 90.00
_cell_angle_beta 90.00
_cell_angle_gamma 90.00
_space_group_name_H-M_alt 'P 4/m m m'
_space_group_IT_number 123
_space_group_name_Hall '-P 4 2'
loop_
_atom_site_label
_atom_site_type_symbol
_atom_site_fract_x
_atom_site_fract_y
_atom_site_fract_z
_atom_site_occupancy
Mn1 Mn 0.000 0.000 0.000 1
Te1 Te 0.000 0.500 0.000 1
I1 I 0.000 0.000 0.500 1
F1 F 0.500 0.500 0.500 1
# spin magnetization = 2.85 μB per formula unit
# uncorrected formation energy = -0.05 eV per atom
# V = 25.75 A^3/atom

=====

# ZrZn5 | Alexandria | SCAN | PBEsol geometry
data_ZrZn5
_chemical_formula_sum 'Zr1 Zn5'
_cell_length_a 2.8461
_cell_length_b 2.8461
_cell_length_c 13.2328
_cell_angle_alpha 90.00
_cell_angle_beta 90.00
_cell_angle_gamma 120.00
_space_group_name_H-M_alt 'P -6 m 2'
_space_group_IT_number 187
_space_group_name_Hall 'P -6 2'
loop_
_atom_site_label
_atom_site_type_symbol
_atom_site_fract_x
_atom_site_fract_y
_atom_site_fract_z
_atom_site_occupancy
Zr1 Zr 0.0000 0.0000 0.0000 1
Zn1 Zn 0.0000 0.0000 0.3429 1
Zn2 Zn 0.6667 0.3333 0.1849 1
Zn3 Zn 0.6667 0.3333 0.5000 1
# ΔH_f (0 K) = -0.0120 eV per atom
# spin magnetization = 0.00 μB per formula unit
# V = 15.47 A^3/atom

=====

# BaTcCI2 | Alexandria | SCAN | PBEsol geometry
data_BaTcCI2
_chemical_formula_sum 'Ba1 Tc1 C1 I2'
_cell_length_a 6.619
_cell_length_b 6.619
_cell_length_c 5.093
_cell_angle_alpha 90.00
_cell_angle_beta 90.00
_cell_angle_gamma 90.00
_space_group_name_H-M_alt 'P 4/m m m'
_space_group_IT_number 123
_space_group_name_Hall '-P 4 2'
loop_
_atom_site_label
_atom_site_type_symbol
_atom_site_fract_x
_atom_site_fract_y
_atom_site_fract_z
_atom_site_occupancy
Ba1 Ba 0.000 0.000 0.000 1
Tc1 Tc 0.500 0.500 0.500 1
C1 C 0.000 0.000 0.500 1
I1 I 0.000 0.500 0.000 1
# spin magnetization = 8.76 μB per formula unit
# uncorrected formation energy = 1.32 eV per atom
# V = 44.62 A^3/atom

=====

# MgRe2Br | Alexandria | SCAN | PBEsol geometry
data_MgRe2Br
_chemical_formula_sum 'Mg2 Re4 Br2'
_cell_length_a 3.054
_cell_length_b 3.082
_cell_length_c 15.256
_cell_angle_alpha 90.00
_cell_angle_beta 90.00
_cell_angle_gamma 90.00
_space_group_name_H-M_alt 'A m m 2'
_space_group_IT_number 38
_space_group_name_Hall 'A 2 -2'
loop_
_atom_site_label
_atom_site_type_symbol
_atom_site_fract_x
_atom_site_fract_y
_atom_site_fract_z
_atom_site_occupancy
Mg1 Mg 0.000 0.000 0.000 1
Re1 Re 0.000 0.000 0.787 1
Re2 Re 0.500 0.000 0.377 1
Br1 Br 0.500 0.000 0.642 1
# spin magnetization = 0.00 μB per formula unit
# uncorrected formation energy = 0.13 eV per atom
# V = 17.95 A^3/atom

=====

# KMo2As | Alexandria | SCAN | PBEsol geometry
data_KMo2As
_chemical_formula_sum 'K1 Mo2 As1'
_cell_length_a 3.215
_cell_length_b 3.215
_cell_length_c 8.081
_cell_angle_alpha 90.00
_cell_angle_beta 90.00
_cell_angle_gamma 90.00
_space_group_name_H-M_alt 'P 4 m m'
_space_group_IT_number 99
_space_group_name_Hall 'P 4 -2'
loop_
_atom_site_label
_atom_site_type_symbol
_atom_site_fract_x
_atom_site_fract_y
_atom_site_fract_z
_atom_site_occupancy
K1 K 0.000 0.000 0.000 1
Mo1 Mo 0.000 0.000 0.524 1
Mo2 Mo 0.500 0.500 0.366 1
As1 As 0.500 0.500 0.703 1
# ΔH_f (0 K) = 0.3164 eV per atom
# spin magnetization = 1.06 μB per formula unit
# V = 20.88 A^3/atom

=====

The records above yield final energy values of -54.4621; -47.9930; -53.0484; -51.3827; -14.6393; -41.4260; -13.8020; -26.6534; -16.3911; -30.3156; -41.5284; -24.2561 eV per atom, respectively.